No. 1
## CaCu2Au2 (meta-GGA SCAN)

Data for CaCu2Au2 at its PBEsol-relaxed geometry.

Computed properties:
DFT total energy: -36.087 eV per atom
Magnetic moment: 0.000 μB/atom
Excess energy over the best structure of this formula in the dataset: 0 meV/atom
DFT formation energy: -2.1 eV/f.u.

a b c (Å): 3.803 3.803 6.781
angles (deg): 106.29 106.29 90.00
Element x y z (fractional)
Ca (0.000, 0.000, 0.000)
Au (0.610, 0.610, 0.219)
Au (0.390, 0.390, 0.781)
Cu (0.250, 0.750, 0.500)
Cu (0.750, 0.250, 0.500)

=====

No. 2
## Ca3CuAu (meta-GGA SCAN)

Data for Ca3CuAu at its PBEsol-relaxed geometry.

Computed properties:
DFT total energy: -22.747 eV per atom
Magnetic moment: 0.000 μB/atom
DFT formation energy: -0.4 eV/f.u.

a b c (Å): 5.533 5.533 5.533
angles (deg): 90.00 90.00 90.00
Element x y z (fractional)
Ca (0.500, 0.000, 0.000)
Ca (0.000, 0.500, 0.000)
Ca (0.000, 0.000, 0.500)
Au (0.000, 0.000, 0.000)
Cu (0.500, 0.500, 0.500)

=====

No. 3
## Ca3AuF (meta-GGA SCAN)

Data for Ca3AuF at its PBEsol-relaxed geometry.

Computed properties:
DFT total energy: -21.188 eV per atom
Magnetic moment: 0.000 μB/atom
Formation energy without anion corrections: -4.25 eV/f.u.

a b c (Å): 5.600 5.600 5.600
angles (deg): 90.00 90.00 90.00
Element x y z (fractional)
F (0.500, 0.500, 0.500)
Ca (0.500, 0.000, 0.000)
Ca (0.000, 0.500, 0.000)
Ca (0.000, 0.000, 0.500)
Au (0.000, 0.000, 0.000)

=====

No. 4
## CaAuNF2 (meta-GGA SCAN)

Data for CaAuNF2 at its PBEsol-relaxed geometry.

Computed properties:
DFT total energy: -19.179 eV per atom
Magnetic moment: 0.000 μB/atom
Formation energy without anion corrections: -0.70 eV/f.u.

a b c (Å): 4.064 4.064 4.620
angles (deg): 90.00 90.00 90.00
Each line ends with the local moment (μB).
Element x y z (fractional)
Ca (0.000, 0.000, 0.500)  -0.01
N (0.000, 0.000, 0.000)  0.45
F (0.500, 0.000, 0.000)  -0.12
F (0.000, 0.500, 0.000)  -0.12
Au (0.500, 0.500, 0.500)  -0.27